<a>
Below is Pm9Nd2Sm after structural relaxation, with properties calculated at the PBE level.

Unit cell a=5.163 b=5.163 c=15.488 alpha=90.00 beta=90.00 gamma=90.00
Atoms (fractional coordinates):
1 Nd 0.000 0.000 0.667
2 Sm 0.000 0.000 0.000
3 Pm 0.000 0.500 0.500
4 Pm 0.000 0.500 0.166
5 Pm 0.500 0.500 0.333
6 Pm 0.500 0.000 0.166
7 Pm 0.500 0.500 0.000
8 Pm 0.500 0.500 0.667
9 Pm 0.500 0.000 0.500
10 Pm 0.000 0.500 0.834
11 Pm 0.500 0.000 0.834
12 Nd 0.000 0.000 0.333

<b>
Below is Pm9Nd2Sm after structural relaxation, with properties calculated at the PBE level.

Unit cell a=3.567 b=11.550 c=11.550 alpha=120.00 beta=90.00 gamma=90.00
Atoms (fractional coordinates):
1 Pm 0.000 0.000 0.500
2 Pm 0.000 0.500 0.500
3 Pm 0.500 0.654 0.827
4 Pm 0.500 0.346 0.173
5 Pm 0.500 0.827 0.654
6 Pm 0.500 0.173 0.346
7 Sm 0.000 0.000 0.000
8 Pm 0.500 0.827 0.173
9 Nd 0.000 0.667 0.333
10 Nd 0.000 0.333 0.667
11 Pm 0.500 0.173 0.827
12 Pm 0.000 0.500 0.000

Going by the energies, <a> is most stable and the next is 0.028 eV/atom up.

<a>
Below is Pm2Nd3Sm2 after structural relaxation, with properties calculated at the PBE level.

Unit cell a=3.601 b=13.330 c=5.687 alpha=77.46 beta=90.00 gamma=113.89
Atoms (fractional coordinates):
1 Nd 0.336 0.557 0.721
2 Pm 0.267 0.846 0.577
3 Pm 0.733 0.154 0.423
4 Sm 0.431 0.286 0.858
5 Nd 0.000 0.000 0.000
6 Nd 0.664 0.443 0.279
7 Sm 0.569 0.714 0.142

<b>
Below is Pm2Nd3Sm2 after structural relaxation, with properties calculated at the PBE level.

Unit cell a=3.561 b=8.789 c=9.089 alpha=118.28 beta=101.30 gamma=90.00
Atoms (fractional coordinates):
1 Nd 0.213 0.802 0.426
2 Pm 0.854 0.671 0.707
3 Sm 0.435 0.092 0.871
4 Nd 0.000 0.500 0.000
5 Sm 0.565 0.908 0.129
6 Pm 0.146 0.329 0.293
7 Nd 0.787 0.198 0.574

Going by the energies, <a> is most stable and the next is 0.064 eV/atom up.